(A)
Computed, not measured: MnCd2Cu after structural relaxation at the PBE level of DFT.

Cell: 6.2890 6.8080 3.2180 Å, 90.00 90.00 90.00°
Closest atoms and distances in Å follow each position.
Sites, in units of the cell vectors:
Mn 0.0000 0.0000 0.0000  8 Cd 2.82, 2 Cu 3.14
Mn 0.5000 0.5000 0.0000  8 Cd 2.82, 2 Cu 3.14
Cd 0.2500 0.2500 0.5000  4 Mn 2.82, 4 Cu 2.82, 2 Cd 3.14
Cd 0.2500 0.7500 0.5000  4 Cu 2.82, 4 Mn 2.82, 2 Cd 3.14
Cd 0.7500 0.2500 0.5000  4 Mn 2.82, 4 Cu 2.82, 2 Cd 3.14
Cd 0.7500 0.7500 0.5000  4 Mn 2.82, 4 Cu 2.82, 2 Cd 3.14
Cu 0.0000 0.5000 0.0000  8 Cd 2.82, 2 Mn 3.14
Cu 0.5000 0.0000 0.0000  8 Cd 2.82, 2 Mn 3.14

(B)
Computed, not measured: MnCd2Cu after structural relaxation at the PBE level of DFT.

Cell: 4.3328 4.3328 7.3543 Å, 90.00 90.00 90.00°
Closest atoms and distances in Å follow each position.
Sites, in units of the cell vectors:
Mn 0.0000 0.0000 0.0000  8 Cd 2.84-3.06, 4 Cu 2.84
Mn 0.5000 0.5000 0.5000  8 Cd 2.84-3.06, 4 Cu 2.84
Cd 0.0000 0.0000 0.5000  4 Cd 2.84, 4 Cu 2.84, 4 Mn 3.06
Cd 0.0000 0.5000 0.7500  4 Cd 2.84, 4 Mn 2.84, 4 Cu 3.06
Cd 0.5000 0.0000 0.2500  4 Cd 2.84, 4 Mn 2.84, 4 Cu 3.06
Cd 0.5000 0.5000 0.0000  4 Cd 2.84, 4 Cu 2.84, 4 Mn 3.06
Cu 0.0000 0.5000 0.2500  8 Cd 2.84-3.06, 4 Mn 2.84
Cu 0.5000 0.0000 0.7500  8 Cd 2.84-3.06, 4 Mn 2.84

(C)
Computed, not measured: MnCd2Cu after structural relaxation at the PBE level of DFT.

Cell: 2.9420 2.9420 28.6224 Å, 90.00 90.00 120.00°
Closest atoms and distances in Å follow each position.
Sites, in units of the cell vectors:
Mn 0.0000 0.0000 0.0000  3 Cu 2.58
Mn 0.3333 0.6667 0.6667  3 Cu 2.58
Mn 0.6667 0.3333 0.3333  3 Cu 2.58
Cd 0.0000 0.0000 0.2494  6 Cd 2.94, 3 Mn 2.94
Cd 0.0000 0.0000 0.4813  3 Cu 2.86, 6 Cd 2.94
Cd 0.3333 0.6667 0.1480  3 Cu 2.86, 6 Cd 2.94
Cd 0.3333 0.6667 0.9161  6 Cd 2.94, 3 Mn 2.94
Cd 0.6667 0.3333 0.5827  6 Cd 2.94, 3 Mn 2.94
Cd 0.6667 0.3333 0.8147  3 Cu 2.86, 6 Cd 2.94
Cu 0.0000 0.0000 0.7343  3 Mn 2.58, 3 Cd 2.86
Cu 0.3333 0.6667 0.4010  3 Mn 2.58, 3 Cd 2.86
Cu 0.6667 0.3333 0.0677  3 Mn 2.58, 3 Cd 2.86

Of them, (C) has the lowest stability.